Version i
A plane-wave DFT calculation with PBE was carried out for crystalline MnSbBr2 at its relaxed geometry.

```
MnSbBr2
1.0
-6.280 -3.204 -3.424
-6.292 -3.464 3.136
4.885 6.029 -1.102
Br Mn Sb
2 1 1
Direct
0.940 0.940 0.000
0.651 0.151 0.500
0.528 0.528 0.000
0.381 0.881 0.500
```

V	34.96	Å³ per atom
symmetry	Imm2
magnetic moment	3.99	μB/cell
calculated density	3.996	Mg/m³



Version ii
A plane-wave DFT calculation with PBE was carried out for crystalline MnSbBr2 at its relaxed geometry.

```
MnSbBr2
1.0
-2.708 -3.314 -2.108
0.699 -2.927 3.702
-3.609 1.674 2.004
Br Mn Sb
2 1 1
Direct
0.000 0.000 0.000
0.500 0.500 0.000
0.500 0.000 0.500
0.000 0.500 0.500
```

V	25.34	Å³ per atom
symmetry	P4/mmm
magnetic moment	4.52	μB/cell
calculated density	5.512	Mg/m³



Version iii
A plane-wave DFT calculation with PBE was carried out for crystalline MnSbBr2 at its relaxed geometry.

```
MnSbBr2
1.0
5.180 0.000 0.000
2.590 4.486 0.000
2.590 1.495 4.229
Br Mn Sb
2 1 1
Direct
0.000 0.000 0.000
0.250 0.250 0.250
0.500 0.500 0.500
0.750 0.750 0.750
```

V	24.57	Å³ per atom
symmetry	F-43m
magnetic moment	3.71	μB/cell
calculated density	5.686	Mg/m³



Version iv
A plane-wave DFT calculation with PBE was carried out for crystalline MnSbBr2 at its relaxed geometry.

```
MnSbBr2
1.0
12.367 -0.015 -0.009
11.845 3.555 -0.009
11.845 1.732 3.105
Br Mn Sb
2 1 1
Direct
0.961 0.961 0.961
0.539 0.539 0.539
0.250 0.250 0.250
0.750 0.750 0.750
```

V	34.37	Å³ per atom
symmetry	R-3m
magnetic moment	5.26	μB/cell
calculated density	4.065	Mg/m³



Which of them is most stable? Easy: version i.



Version i
A plane-wave DFT calculation with PBE was carried out for crystalline MnSbBr2 at its relaxed geometry.

```
MnSbBr2
1.0
5.517 0.021 0.000
-1.467 5.319 0.000
0.000 0.000 3.430
Br Mn Sb
2 1 1
Direct
0.000 0.000 0.000
0.500 0.500 0.000
0.500 0.000 0.500
0.000 0.500 0.500
```

V	25.19	Å³ per atom
symmetry	Cmmm
magnetic moment	4.75	μB/cell
calculated density	5.546	Mg/m³



Version ii
A plane-wave DFT calculation with PBE was carried out for crystalline MnSbBr2 at its relaxed geometry.

```
MnSbBr2
1.0
7.388 0.222 -0.117
6.438 3.631 -0.117
1.502 0.419 5.410
Br Mn Sb
2 1 1
Direct
0.059 0.059 0.913
0.847 0.847 0.656
0.476 0.476 0.586
0.118 0.118 0.345
```

V	34.51	Å³ per atom
symmetry	Cm
magnetic moment	3.99	μB/cell
calculated density	4.048	Mg/m³



Version iii
A plane-wave DFT calculation with PBE was carried out for crystalline MnSbBr2 at its relaxed geometry.

```
MnSbBr2
1.0
-0.028 -5.956 4.830
3.066 -6.242 3.230
2.290 2.189 4.037
Br Mn Sb
2 1 1
Direct
0.111 0.111 0.933
0.389 0.389 0.567
0.750 0.750 0.750
0.250 0.250 0.250
```

V	33.01	Å³ per atom
symmetry	C2/m
magnetic moment	4.46	μB/cell
calculated density	4.231	Mg/m³



Which of them is most stable? Easy: version ii.



Version i
A plane-wave DFT calculation with PBE was carried out for crystalline MnSb2Br at its relaxed geometry.

```
MnSb2Br
1.0
-2.805 -1.817 0.846
1.902 -1.954 2.110
-1.453 5.016 5.954
Br Mn Sb
1 1 2
Direct
0.500 0.500 0.250
0.500 0.500 0.750
0.000 0.000 0.947
0.000 0.000 0.553
```

V	23.53	Å³ per atom
symmetry	P4/mmm
magnetic moment	3.10	μB/cell
calculated density	6.674	Mg/m³



Version ii
A plane-wave DFT calculation with PBE was carried out for crystalline MnSb2Br at its relaxed geometry.

```
MnSb2Br
1.0
-3.508 -0.200 1.278
-0.156 -3.871 -1.033
2.596 -3.928 6.515
Br Mn Sb
1 1 2
Direct
0.000 0.651 0.575
0.500 0.537 0.802
0.000 0.953 0.968
0.500 0.359 0.155
```

V	29.16	Å³ per atom
symmetry	Pm
magnetic moment	4.15	μB/cell
calculated density	5.386	Mg/m³



Which of them is most stable? Easy: version ii.



Version i
A plane-wave DFT calculation with PBE was carried out for crystalline MnSb2Br at its relaxed geometry.

```
MnSb2Br
1.0
7.786 -0.142 -1.595
6.994 3.424 -1.595
1.983 0.440 3.808
Br Mn Sb
1 1 2
Direct
0.595 0.595 0.404
0.224 0.224 0.276
0.906 0.906 0.094
0.774 0.774 0.726
```

V	29.29	Å³ per atom
symmetry	Imm2
magnetic moment	4.41	μB/cell
calculated density	5.363	Mg/m³



Version ii
A plane-wave DFT calculation with PBE was carried out for crystalline MnSb2Br at its relaxed geometry.

```
MnSb2Br
1.0
-2.370 1.565 4.663
-4.762 0.212 -2.662
-0.562 -3.108 0.757
Br Mn Sb
1 1 2
Direct
0.500 0.000 0.500
0.000 0.500 0.500
0.000 0.000 0.000
0.500 0.500 0.000
```

V	24.19	Å³ per atom
symmetry	Cmmm
magnetic moment	4.33	μB/cell
calculated density	6.493	Mg/m³



Version iii
A plane-wave DFT calculation with PBE was carried out for crystalline MnSb2Br at its relaxed geometry.

```
MnSb2Br
1.0
-1.312 -3.755 -0.407
-0.656 -2.237 3.248
-7.108 4.696 -0.676
Br Mn Sb
1 1 2
Direct
0.750 0.750 0.750
0.250 0.250 0.250
0.862 0.862 0.089
0.638 0.638 0.411
```

V	28.52	Å³ per atom
symmetry	C2/m
magnetic moment	2.56	μB/cell
calculated density	5.507	Mg/m³



Version iv
A plane-wave DFT calculation with PBE was carried out for crystalline MnSb2Br at its relaxed geometry.

```
MnSb2Br
1.0
-5.089 0.761 -0.694
1.641 -4.194 -2.591
-2.346 -4.312 1.716
Br Mn Sb
1 1 2
Direct
0.000 0.500 0.500
0.500 0.500 0.000
0.000 0.000 0.000
0.500 0.000 0.500
```

V	26.92	Å³ per atom
symmetry	I4/mmm
magnetic moment	4.44	μB/cell
calculated density	5.835	Mg/m³



Which of them is most stable? Easy: version iii.



Version i
A plane-wave DFT calculation with PBE was carried out for crystalline Mn2SbBr at its relaxed geometry.

```
Mn2SbBr
1.0
-3.073 2.178 -2.401
-0.869 0.651 -4.332
-4.552 -5.693 -0.695
Br Mn Sb
1 2 1
Direct
0.270 0.270 0.123
0.013 0.013 0.957
0.742 0.742 0.785
0.474 0.474 0.636
```

V	24.96	Å³ per atom
symmetry	Cm
magnetic moment	6.83	μB/cell
calculated density	5.182	Mg/m³



Version ii
A plane-wave DFT calculation with PBE was carried out for crystalline Mn2SbBr at its relaxed geometry.

```
Mn2SbBr
1.0
-1.409 -0.389 6.028
6.035 -0.361 1.387
2.591 6.153 4.194
Sb Mn Br
2 4 2
Direct
0.000 0.000 0.000
0.750 0.250 0.500
0.638 0.125 0.250
0.112 0.625 0.250
0.375 0.362 0.750
0.875 0.888 0.750
0.500 0.500 0.000
0.250 0.750 0.500
```

V	31.51	Å³ per atom
symmetry	I-42d
magnetic moment	20.00	μB/cell
calculated density	4.105	Mg/m³



Version iii
A plane-wave DFT calculation with PBE was carried out for crystalline Mn2SbBr at its relaxed geometry.

```
Mn2SbBr
1.0
-0.665 0.181 -4.949
-3.335 -3.707 0.318
-0.589 4.130 2.750
Br Mn Sb
1 2 1
Direct
0.750 0.250 0.500
0.000 0.000 0.000
0.500 0.500 0.000
0.250 0.750 0.500
```

V	22.06	Å³ per atom
symmetry	I4/mmm
magnetic moment	9.25	μB/cell
calculated density	5.862	Mg/m³



Version iv
A plane-wave DFT calculation with PBE was carried out for crystalline Mn2SbBr at its relaxed geometry.

```
Mn2SbBr
1.0
-0.064 1.032 3.288
2.846 -1.837 0.635
4.327 6.072 -1.821
Br Mn Sb
1 2 1
Direct
0.500 0.500 0.858
0.000 0.000 0.028
0.500 0.500 0.224
0.000 0.000 0.390
```

V	22.79	Å³ per atom
symmetry	P4mm
magnetic moment	7.52	μB/cell
calculated density	5.674	Mg/m³



Which of them is most stable? Easy: version iv.



Version i
A plane-wave DFT calculation with PBE was carried out for crystalline MnSb3Br at its relaxed geometry.

```
MnSb3Br
1.0
5.064 0.000 0.000
0.000 5.064 0.000
0.000 0.000 5.064
Sb Mn Br
3 1 1
Direct
0.000 0.500 0.000
0.000 0.000 0.500
0.500 0.000 0.000
0.000 0.000 0.000
0.500 0.500 0.500
```

V	25.97	Å³ per atom
symmetry	Pm-3m
magnetic moment	2.10	μB/cell
calculated density	6.395	Mg/m³



Version ii
A plane-wave DFT calculation with PBE was carried out for crystalline MnSb3Br at its relaxed geometry.

```
MnSb3Br
1.0
-2.961 -1.218 -4.434
4.580 -0.310 -2.974
0.411 -5.323 1.188
Sb Mn Br
3 1 1
Direct
0.000 0.500 0.000
0.000 0.000 0.500
0.500 0.000 0.000
0.500 0.500 0.500
0.000 0.000 0.000
```

V	32.72	Å³ per atom
symmetry	Pm-3m
magnetic moment	4.41	μB/cell
calculated density	5.076	Mg/m³



Which of them is most stable? Easy: version i.



Version i
A plane-wave DFT calculation with PBE was carried out for crystalline MnSbBr at its relaxed geometry.

```
MnSbBr
1.0
-0.840 -4.313 4.547
6.114 -4.484 -3.125
0.541 5.450 5.270
Sb Br Mn
4 4 4
Direct
0.145 0.431 0.935
0.145 0.931 0.435
0.645 0.069 0.565
0.645 0.569 0.065
0.868 0.623 0.620
0.868 0.123 0.120
0.368 0.877 0.880
0.368 0.377 0.380
0.988 0.278 0.512
0.488 0.722 0.488
0.488 0.222 0.988
0.988 0.778 0.012
```

V	26.19	Å³ per atom
symmetry	P2_1
magnetic moment	16.40	μB/cell
calculated density	5.422	Mg/m³



Version ii
A plane-wave DFT calculation with PBE was carried out for crystalline MnSbBr at its relaxed geometry.

```
MnSbBr
1.0
-2.602 -1.012 7.738
-5.299 -1.597 5.632
1.579 -2.812 1.285
Br Mn Sb
1 1 1
Direct
0.047 0.047 0.953
0.661 0.661 0.339
0.292 0.292 0.708
```

V	27.67	Å³ per atom
symmetry	Fmm2
magnetic moment	3.77	μB/cell
calculated density	5.132	Mg/m³



Version iii
A plane-wave DFT calculation with PBE was carried out for crystalline MnSbBr at its relaxed geometry.

```
MnSbBr
1.0
4.811 0.000 0.000
-2.406 4.167 0.000
0.000 0.000 3.363
Br Mn Sb
1 1 1
Direct
0.000 0.000 0.168
0.667 0.333 0.164
0.333 0.667 0.668
```

V	22.47	Å³ per atom
symmetry	P3m1
magnetic moment	3.70	μB/cell
calculated density	6.320	Mg/m³



Which of them is most stable? Easy: version i.



Version i
A plane-wave DFT calculation with PBE was carried out for crystalline MnSbBr at its relaxed geometry.

```
MnSbBr
1.0
-1.279 -5.990 5.009
0.309 -7.833 1.074
2.652 7.104 -2.257
Br Mn Sb
1 1 1
Direct
0.947 0.947 0.000
0.342 0.342 0.000
0.711 0.711 0.000
```

V	26.99	Å³ per atom
symmetry	I4mm
magnetic moment	4.10	μB/cell
calculated density	5.263	Mg/m³



Version ii
A plane-wave DFT calculation with PBE was carried out for crystalline MnSbBr at its relaxed geometry.

```
MnSbBr
1.0
-0.291 -3.612 0.193
1.836 1.529 -2.731
6.290 -0.290 4.066
Br Mn Sb
1 1 1
Direct
0.000 0.000 0.117
0.667 0.333 0.325
0.333 0.667 0.558
```

V	28.50	Å³ per atom
symmetry	P3m1
magnetic moment	3.20	μB/cell
calculated density	4.984	Mg/m³



Which of them is most stable? Easy: version ii.



Version i
A plane-wave DFT calculation with PBE was carried out for crystalline MnSbTe2Br at its relaxed geometry.

```
MnSbTe2Br
1.0
5.625 0.000 0.000
0.000 5.625 0.000
0.000 0.000 5.511
Sb Te Br Mn
1 2 1 1
Direct
0.000 0.000 0.500
0.000 0.500 0.000
0.500 0.000 0.000
0.000 0.000 0.000
0.500 0.500 0.500
```

V	34.87	Å³ per atom
symmetry	P4/mmm
magnetic moment	3.99	μB/cell
calculated density	4.875	Mg/m³



Version ii
A plane-wave DFT calculation with PBE was carried out for crystalline MnSbTe2Br at its relaxed geometry.

```
MnSbTe2Br
1.0
-0.092 -4.668 1.722
4.317 -0.932 -2.294
2.638 1.547 4.335
Sb Te Br Mn
1 2 1 1
Direct
0.000 0.000 0.500
0.000 0.500 0.000
0.500 0.000 0.000
0.500 0.500 0.500
0.000 0.000 0.000
```

V	26.28	Å³ per atom
symmetry	P4/mmm
magnetic moment	0.00	μB/cell
calculated density	6.469	Mg/m³



Which of them is most stable? Easy: version ii.



Version i
A plane-wave DFT calculation with PBE was carried out for crystalline ScMn2Br at its relaxed geometry.

```
ScMn2Br
1.0
-0.896 4.918 1.405
-3.490 3.839 -0.216
-2.950 0.423 4.439
Br Mn Sc
1 2 1
Direct
0.263 0.263 0.342
0.985 0.985 0.916
0.735 0.735 0.808
0.517 0.517 0.434
```

V	19.46	Å³ per atom
symmetry	Cm
magnetic moment	7.38	μB/cell
calculated density	5.009	Mg/m³



Version ii
A plane-wave DFT calculation with PBE was carried out for crystalline ScMn2Br at its relaxed geometry.

```
ScMn2Br
1.0
5.597 -0.003 0.000
2.884 4.797 0.000
-4.241 -2.397 2.757
Br Mn Sc
1 2 1
Direct
0.750 0.250 0.500
0.000 0.000 0.000
0.500 0.500 0.000
0.250 0.750 0.500
```

V	18.51	Å³ per atom
symmetry	I4/mmm
magnetic moment	6.74	μB/cell
calculated density	5.264	Mg/m³



Version iii
A plane-wave DFT calculation with PBE was carried out for crystalline ScMn2Br at its relaxed geometry.

```
ScMn2Br
1.0
-2.398 -2.234 -3.402
2.303 -2.636 -3.172
-0.407 -4.705 0.097
Br Mn Sc
1 2 1
Direct
0.500 0.500 0.500
0.000 0.000 0.000
0.250 0.250 0.250
0.750 0.750 0.750
```

V	18.63	Å³ per atom
symmetry	F-43m
magnetic moment	7.10	μB/cell
calculated density	5.231	Mg/m³



Which of them is most stable? Easy: version i.